Entry from Alexandria: a relaxed structure of PmScZnCd (PBE-GGA).

Calculated values
The space group is P4mm. For the energy relative to the elements, the calculation gives -0.32 eV/atom.

Lattice parameters (Å, degrees): 3.5139 3.5139 7.5110 90.00 90.00 90.00
Positions (direct):
1 Pm 0.0000 0.0000 0.0000
2 Sc 0.0000 0.0000 0.5405
3 Zn 0.5000 0.5000 0.7359
4 Cd 0.5000 0.5000 0.3001


Entry from Alexandria: a relaxed structure of Tm2Mn17C3 (PBE-GGA).

Calculated values
The space group is P6_3/mmc. For the energy relative to the elements, the calculation gives -0.10 eV/atom.

Lattice parameters (Å, degrees): 8.4817 8.4817 8.2872 90.00 90.00 120.00
Positions (direct):
1 Tm 0.0000 0.0000 0.2500
2 Tm 0.0000 0.0000 0.7500
3 Tm 0.3333 0.6667 0.2500
4 Tm 0.6667 0.3333 0.7500
5 Mn 0.0000 0.5000 0.0000
6 Mn 0.0000 0.5000 0.5000
7 Mn 0.0603 0.3883 0.7500
8 Mn 0.0603 0.6720 0.7500
9 Mn 0.1673 0.3347 0.0246
10 Mn 0.1673 0.3347 0.4754
11 Mn 0.1673 0.8327 0.0246
12 Mn 0.1673 0.8327 0.4754
13 Mn 0.3280 0.3883 0.7500
14 Mn 0.3280 0.9397 0.7500
15 Mn 0.3333 0.6667 0.6063
16 Mn 0.3333 0.6667 0.8937
17 Mn 0.3347 0.1673 0.5246
18 Mn 0.3347 0.1673 0.9754
19 Mn 0.3883 0.0603 0.2500
20 Mn 0.3883 0.3280 0.2500
21 Mn 0.5000 0.0000 0.0000
22 Mn 0.5000 0.0000 0.5000
23 Mn 0.5000 0.5000 0.0000
24 Mn 0.5000 0.5000 0.5000
25 Mn 0.6117 0.6720 0.7500
26 Mn 0.6117 0.9397 0.7500
27 Mn 0.6653 0.8327 0.0246
28 Mn 0.6653 0.8327 0.4754
29 Mn 0.6667 0.3333 0.1063
30 Mn 0.6667 0.3333 0.3937
31 Mn 0.6720 0.0603 0.2500
32 Mn 0.6720 0.6117 0.2500
33 Mn 0.8327 0.1673 0.5246
34 Mn 0.8327 0.1673 0.9754
35 Mn 0.8327 0.6653 0.5246
36 Mn 0.8327 0.6653 0.9754
37 Mn 0.9397 0.3280 0.2500
38 Mn 0.9397 0.6117 0.2500
39 C 0.1654 0.3309 0.2500
40 C 0.1654 0.8346 0.2500
41 C 0.3309 0.1654 0.7500
42 C 0.6691 0.8346 0.2500
43 C 0.8346 0.1654 0.7500
44 C 0.8346 0.6691 0.7500


Entry from Alexandria: a relaxed structure of ZnCo2Os (PBE-GGA).

Calculated values
The space group is Cmmm. For the energy relative to the elements, the calculation gives 0.14 eV/atom.

Lattice parameters (Å, degrees): 4.4325 4.4325 2.6028 90.00 90.00 107.63
Positions (direct):
1 Zn 0.0000 0.0000 0.0000
2 Co 0.0000 0.5000 0.5000
3 Co 0.5000 0.0000 0.5000
4 Os 0.5000 0.5000 0.0000


Entry from Alexandria: a relaxed structure of Ac4LaPmPr2 (PBE-GGA).

Calculated values
The space group is P2/m. For the energy relative to the elements, the calculation gives 0.02 eV/atom.

Lattice parameters (Å, degrees): 6.7105 3.8774 12.5794 90.00 100.31 90.00
Positions (direct):
1 Ac 0.2486 0.0000 0.2480
2 Ac 0.2504 0.5000 0.7518
3 Ac 0.7496 0.5000 0.2482
4 Ac 0.7514 0.0000 0.7520
5 La 0.0000 0.0000 0.5000
6 Pm 0.0000 0.5000 0.0000
7 Pr 0.5000 0.0000 0.0000
8 Pr 0.5000 0.5000 0.5000


Entry from Alexandria: a relaxed structure of TiWBr2 (PBE-GGA).

Calculated values
The space group is R-3m. For the uncorrected formation energy, the calculation gives 1.13 eV per formula unit.

Lattice parameters (Å, degrees): 9.0189 9.0189 9.0189 19.97 19.97 19.97
Positions (direct):
1 Ti 0.0000 0.0000 0.0000
2 W 0.5000 0.5000 0.5000
3 Br 0.4039 0.4039 0.4039
4 Br 0.5961 0.5961 0.5961


Entry from Alexandria: a relaxed structure of Ac2TbAu4 (PBE-GGA).

Calculated values
The space group is I4/mmm. For the energy relative to the elements, the calculation gives -0.68 eV/atom.

Lattice parameters (Å, degrees): 7.7513 7.7513 7.7513 138.53 138.53 60.09
Positions (direct):
1 Ac 0.2148 0.2148 0.0000
2 Ac 0.7852 0.7852 0.0000
3 Tb 0.5000 0.5000 0.0000
4 Au 0.1075 0.6075 0.5000
5 Au 0.3925 0.8925 0.5000
6 Au 0.6075 0.1075 0.5000
7 Au 0.8925 0.3925 0.5000


no.,M_tot (μB/cell)
1,0.00
2,12.52
3,0.16
4,0.00
5,0.00
6,0.00